{"formula": "Li2DyAu", "functional": "PBE-GGA", "state": "relaxed", "lattice": [[4.6927, 0.0000, 0.0000], [2.3464, 4.0640, 0.0000], [2.3464, 1.3547, 3.8316]], "species": ["Au", "Dy", "Li", "Li"], "frac_coords": [[0.5000, 0.5000, 0.5000], [0.0000, 0.0000, 0.0000], [0.2500, 0.2500, 0.2500], [0.7500, 0.7500, 0.7500]], "e_above_lowest_polymorph_mev_per_atom": 142, "spacegroup": "Fm-3m", "dos_ef_per_ev_cell": 4.2, "e_form_ev_per_atom": -0.260}